Record 1
Material: NiPt
Method: DFT, PBE
State: optimized geometry

Calculated values
Calculated formation energy   -0.05 eV/atom
Total moment   1.146 μB per formula unit
Crystal system   monoclinic

a b c (Å): 4.6446 5.4277 6.4708
angles (deg): 90.00 90.80 90.00
Last column: nearest neighbours and their distance in Å.
Space group P2/m (No. 10)
Inequivalent atoms, fractional coordinates:
Ni1 0.0000 0.0000 0.0000 [1 per cell]  4 Pt 2.58, 8 Ni 2.63-2.71
Ni2 0.0000 0.5000 0.0000 [1 per cell]  6 Pt 2.57-2.61, 6 Ni 2.71-2.73
Ni3 0.3319 0.0000 0.6741 [2 per cell]  4 Ni 2.58-2.76, 8 Pt 2.67-2.73
Ni4 0.5000 0.2352 0.0000 [2 per cell]  7 Ni 2.55-2.73, 4 Pt 2.60
Pt1 0.1701 0.2442 0.3216 [4 per cell]  6 Ni 2.58-2.73, 6 Pt 2.65-2.82
Pt2 0.3326 0.5000 0.6849 [2 per cell]  5 Ni 2.57-2.71, 7 Pt 2.70-2.87

=====

Record 2
Material: Ni3Pt
Method: DFT, PBE
State: optimized geometry

Calculated values
Calculated formation energy   -0.02 eV/atom
Total moment   2.374 μB per formula unit
Crystal system   orthorhombic

a b c (Å): 2.6538 8.3971 4.4248
angles (deg): 90.00 90.00 90.00
Last column: nearest neighbours and their distance in Å.
Space group Imm2 (No. 44)
Inequivalent atoms, fractional coordinates:
Ni1 0.0000 0.0000 0.0000 [2 per cell]  8 Ni 2.55-2.65, 4 Pt 2.57-2.59
Ni2 0.0000 0.2537 0.6552 [4 per cell]  9 Ni 2.55-2.65, 3 Pt 2.58-2.60
Pt1 0.0000 0.5000 0.0031 [2 per cell]  10 Ni 2.57-2.60, 2 Pt 2.65

=====

Repeat the second record exactly.
Material: Ni3Pt
Method: DFT, PBE
State: optimized geometry

Calculated values
Calculated formation energy   -0.02 eV/atom
Total moment   2.374 μB per formula unit
Crystal system   orthorhombic

a b c (Å): 2.6538 8.3971 4.4248
angles (deg): 90.00 90.00 90.00
Last column: nearest neighbours and their distance in Å.
Space group Imm2 (No. 44)
Inequivalent atoms, fractional coordinates:
Ni1 0.0000 0.0000 0.0000 [2 per cell]  8 Ni 2.55-2.65, 4 Pt 2.57-2.59
Ni2 0.0000 0.2537 0.6552 [4 per cell]  9 Ni 2.55-2.65, 3 Pt 2.58-2.60
Pt1 0.0000 0.5000 0.0031 [2 per cell]  10 Ni 2.57-2.60, 2 Pt 2.65